Pr3WBr2O6 GGA+U optimized geometry; magnetization = 0.337 μB per cell; DOS at the Fermi energy = 0.145 states/eV/atom; final energy = -6.82 eV per atom
1.0
5.798 0.000 0.713
0.000 6.541 0.000
0.209 -3.271 6.172
Pr W Br O
3 1 2 6
Direct
0.000 0.500 0.000
0.500 0.500 0.500
0.500 0.000 0.500
0.500 0.000 0.000
0.101 0.719 0.438
0.899 0.281 0.562
0.694 0.278 0.107
0.306 0.722 0.893
0.667 0.853 0.706
0.333 0.147 0.294
0.306 0.171 0.893
0.694 0.829 0.107